Entry 1:
Computed, not measured: an optimized crystal structure of Tl16CdSn12 at the PBE-GGA level of DFT.

a = 10.4758 Å, b = 10.4758 Å, c = 10.3604 Å
α = 109.28°, β = 109.28°, γ = 109.65°
Last column: nearest neighbours and their distance in Å.
Sites, in units of the cell vectors:
Tl 0.0000 0.0000 0.0000  12 Sn 3.61-3.74, 4 Tl 3.72-3.78
Tl 0.0015 0.4013 0.6844  5 Sn 3.36-3.66, 7 Tl 3.43-3.67
Tl 0.0029 0.0029 0.6432  4 Tl 3.44-3.72, 6 Sn 3.58-3.60
Tl 0.2863 0.6007 0.6002  5 Sn 3.38-3.67, 7 Tl 3.43-3.65
Tl 0.3153 0.7132 0.3128  5 Sn 3.31-3.67, 6 Tl 3.43-3.64, 1 Cd 3.62
Tl 0.3179 0.3179 0.7122  5 Sn 3.35-3.61, 7 Tl 3.44-3.65
Tl 0.3636 0.3636 0.3561  1 Cd 3.35, 2 Tl 3.43, 6 Sn 3.54-3.69
Tl 0.4013 0.0015 0.6844  5 Sn 3.36-3.66, 7 Tl 3.43-3.67
Tl 0.4030 0.6856 0.0024  5 Sn 3.32-3.62, 6 Tl 3.43-3.66, 1 Cd 3.55
Tl 0.6007 0.2863 0.6002  5 Sn 3.38-3.67, 7 Tl 3.43-3.65
Tl 0.6448 0.9994 0.9995  4 Tl 3.43-3.72, 6 Sn 3.58-3.65
Tl 0.6822 0.9991 0.3985  5 Sn 3.36-3.59, 6 Tl 3.45-3.67, 1 Cd 3.63
Tl 0.6856 0.4030 0.0024  5 Sn 3.32-3.62, 6 Tl 3.43-3.66, 1 Cd 3.55
Tl 0.7132 0.3153 0.3128  5 Sn 3.31-3.67, 6 Tl 3.43-3.64, 1 Cd 3.62
Tl 0.9994 0.6448 0.9995  4 Tl 3.43-3.72, 6 Sn 3.58-3.65
Tl 0.9991 0.6822 0.3985  5 Sn 3.36-3.59, 6 Tl 3.45-3.67, 1 Cd 3.63
Cd 0.6018 0.6018 0.2857  5 Sn 3.22-3.60, 3 Tl 3.35-3.55
Sn 0.0024 0.3639 0.1852  3 Sn 3.05-3.17, 1 Tl 3.36
Sn 0.1764 0.8162 0.8132  3 Sn 3.07-3.21, 2 Tl 3.38-3.44
Sn 0.1814 0.9985 0.3621  3 Sn 3.05-3.20, 1 Tl 3.36
Sn 0.1910 0.3676 0.0011  3 Sn 3.02-3.21, 1 Tl 3.32
Sn 0.3639 0.0024 0.1852  3 Sn 3.05-3.17, 1 Tl 3.36
Sn 0.3676 0.1910 0.0011  3 Sn 3.02-3.21, 1 Tl 3.32
Sn 0.6348 0.8177 0.6265  3 Sn 3.07-3.18, 1 Tl 3.31, 1 Cd 3.33
Sn 0.6380 0.6380 0.8205  3 Sn 3.07-3.18, 3 Tl 3.35-3.44
Sn 0.8075 0.8075 0.1822  3 Sn 3.07-3.20, 1 Cd 3.22, 2 Tl 3.39
Sn 0.8162 0.1764 0.8132  3 Sn 3.07-3.21, 2 Tl 3.38-3.44
Sn 0.8177 0.6348 0.6265  3 Sn 3.07-3.18, 1 Tl 3.31, 1 Cd 3.33
Sn 0.9985 0.1814 0.3621  3 Sn 3.05-3.20, 1 Tl 3.36

- Symmetry: Cm, No. 8

---

Entry 2:
Computed, not measured: an optimized crystal structure of Tl3Cd4Sn4 at the PBE-GGA level of DFT.

a = 9.6358 Å, b = 9.6358 Å, c = 9.6358 Å
α = 149.13°, β = 136.77°, γ = 54.06°
Last column: nearest neighbours and their distance in Å.
Sites, in units of the cell vectors:
Tl 0.0000 0.0000 0.0000  6 Cd 3.25-3.35
Tl 0.3966 0.8966 0.5000  4 Sn 3.45, 4 Cd 3.48, 1 Tl 3.55
Tl 0.6034 0.1034 0.5000  4 Sn 3.45, 4 Cd 3.48, 1 Tl 3.55
Cd 0.1952 0.1952 0.0000  6 Sn 3.03, 1 Tl 3.35
Cd 0.2820 0.5000 0.7820  2 Sn 2.97, 1 Cd 3.09, 2 Tl 3.25
Cd 0.7180 0.5000 0.2180  2 Sn 2.97, 1 Cd 3.09, 2 Tl 3.25
Cd 0.8048 0.8048 0.0000  6 Sn 3.03, 1 Tl 3.35
Sn 0.0489 0.3287 0.7203  4 Cd 2.97-3.03, 1 Sn 3.13
Sn 0.3916 0.6713 0.7203  4 Cd 2.97-3.03, 1 Sn 3.13
Sn 0.6084 0.3287 0.2797  4 Cd 2.97-3.03, 1 Sn 3.13
Sn 0.9511 0.6713 0.2797  4 Cd 2.97-3.03, 1 Sn 3.13

- Energy above the lowest structure with this stoichiometry: 23 meV per atom
- Symmetry: Immm, No. 71

---

Entry 3:
Computed, not measured: an optimized crystal structure of Tl2CdSn at the PBE-GGA level of DFT.

a = 5.4416 Å, b = 5.4416 Å, c = 5.4416 Å
α = 60.00°, β = 60.00°, γ = 60.00°
Last column: nearest neighbours and their distance in Å.
Sites, in units of the cell vectors:
Tl 0.2500 0.2500 0.2500  4 Sn 3.33, 4 Cd 3.33
Tl 0.7500 0.7500 0.7500  4 Sn 3.33, 4 Cd 3.33
Cd 0.0000 0.0000 0.0000  8 Tl 3.33
Sn 0.5000 0.5000 0.5000  8 Tl 3.33

- Energy above the lowest structure with this stoichiometry: 58 meV per atom
- Symmetry: Fm-3m, No. 225

---

Entry 4:
Computed, not measured: an optimized crystal structure of Tl3Cd2Sn7 at the PBE-GGA level of DFT.

a = 6.0132 Å, b = 3.2495 Å, c = 17.4962 Å
α = 90.00°, β = 95.65°, γ = 90.00°
Last column: nearest neighbours and their distance in Å.
Sites, in units of the cell vectors:
Tl 0.0000 0.0000 0.0000  2 Tl 3.25, 10 Sn 3.36-3.49
Tl 0.2103 0.5000 0.3451  2 Tl 3.25, 4 Cd 3.47-3.48, 2 Sn 3.49
Tl 0.7897 0.5000 0.6549  2 Tl 3.25, 4 Cd 3.47-3.48, 2 Sn 3.49
Cd 0.3015 0.0000 0.6921  4 Sn 2.95-3.20, 2 Cd 3.25
Cd 0.6985 0.0000 0.3079  4 Sn 2.95-3.20, 2 Cd 3.25
Sn 0.1570 0.5000 0.8369  2 Cd 3.20, 7 Sn 3.25-3.44, 2 Tl 3.49
Sn 0.2557 0.0000 0.5225  1 Cd 2.95, 4 Sn 3.10-3.25
Sn 0.3392 0.0000 0.1643  1 Cd 3.15, 8 Sn 3.25-3.52, 1 Tl 3.36
Sn 0.5000 0.5000 0.0000  8 Sn 3.25-3.52, 4 Tl 3.42
Sn 0.6608 0.0000 0.8357  1 Cd 3.15, 8 Sn 3.25-3.52, 1 Tl 3.36
Sn 0.7443 0.0000 0.4775  1 Cd 2.95, 4 Sn 3.10-3.25
Sn 0.8430 0.5000 0.1631  2 Cd 3.20, 7 Sn 3.25-3.44, 2 Tl 3.49

- Symmetry: P2/m, No. 10

---

| no. | energy of formation from the pure elements (eV per atom) | calculated total energy (eV per atom) |
| --- | --- | --- |
| 1 | 0.0070 | -2.99 |
| 2 | 0.0591 | -2.37 |
| 3 | 0.0805 | -2.33 |
| 4 | 0.0546 | -3.02 |